[1]
! YNbPO PBE-GGA relaxed; values from VASP
! Relative energy among the computed polymorphs ... 1125 meV/atom
&SYSTEM
  ibrav = 0, nat = 8, ntyp = 4
/
ATOMIC_SPECIES
Y 88.91 Y.upf
Nb 92.91 Nb.upf
P 30.97 P.upf
O 16.00 O.upf
CELL_PARAMETERS angstrom
4.180 0.000 0.000
0.000 4.180 0.000
0.000 0.000 7.438
ATOMIC_POSITIONS crystal
Y 0.250 0.750 0.000
Y 0.750 0.250 0.000
Nb 0.250 0.250 0.398
Nb 0.750 0.750 0.602
P 0.250 0.250 0.754
P 0.750 0.750 0.246
O 0.250 0.750 0.500
O 0.750 0.250 0.500

[2]
! PuNpZn PBE-GGA relaxed; values from VASP
! Energy of formation from the pure elements ... 0.582 eV/atom
! Relative energy among the computed polymorphs ... 0 meV/atom
&SYSTEM
  ibrav = 0, nat = 3, ntyp = 3
/
ATOMIC_SPECIES
Pu 244.00 Pu.upf
Np 237.00 Np.upf
Zn 65.41 Zn.upf
CELL_PARAMETERS angstrom
0.000 3.087 3.087
3.087 0.000 3.087
3.087 3.087 0.000
ATOMIC_POSITIONS crystal
Pu 0.000 0.000 0.000
Np 0.750 0.750 0.750
Zn 0.250 0.250 0.250

[3]
Li4AlZnIr2 | PBE-GGA | relaxed Values from VASP.

```
&SYSTEM
  ibrav = 0, nat = 8, ntyp = 4
/
ATOMIC_SPECIES
Li 6.94 Li.upf
Al 26.98 Al.upf
Zn 65.41 Zn.upf
Ir 192.22 Ir.upf
CELL_PARAMETERS angstrom
4.213 0.000 0.000
0.000 4.213 0.000
0.000 0.000 5.996
ATOMIC_POSITIONS crystal
Li 0.000 0.000 0.000
Li 0.000 0.500 0.741
Li 0.500 0.000 0.259
Li 0.500 0.500 0.500
Al 0.500 0.500 0.000
Zn 0.000 0.000 0.500
Ir 0.000 0.500 0.238
Ir 0.500 0.000 0.762
```

[4]
PmInNi | PBE-GGA | relaxed Values from VASP.

```
&SYSTEM
  ibrav = 0, nat = 3, ntyp = 3
/
ATOMIC_SPECIES
Pm 145.00 Pm.upf
In 114.82 In.upf
Ni 58.69 Ni.upf
CELL_PARAMETERS angstrom
0.000 3.289 3.289
3.289 0.000 3.289
3.289 3.289 0.000
ATOMIC_POSITIONS crystal
Pm 0.000 0.000 0.000
In 0.500 0.500 0.500
Ni 0.750 0.750 0.750
```

[5]
NdGaAu2 | PBE-GGA | relaxed Values from VASP.

```
&SYSTEM
  ibrav = 0, nat = 8, ntyp = 3
/
ATOMIC_SPECIES
Nd 144.24 Nd.upf
Ga 69.72 Ga.upf
Au 196.97 Au.upf
CELL_PARAMETERS angstrom
4.513 0.000 0.000
0.000 6.449 0.000
0.000 0.000 6.019
ATOMIC_POSITIONS crystal
Nd 0.000 0.088 0.000
Nd 0.500 0.912 0.500
Ga 0.000 0.611 0.247
Ga 0.500 0.389 0.747
Au 0.000 0.245 0.513
Au 0.000 0.653 0.725
Au 0.500 0.347 0.225
Au 0.500 0.755 0.013
```

[6]
NaYGa4Pt2 | PBE-GGA | relaxed Values from VASP.

```
&SYSTEM
  ibrav = 0, nat = 8, ntyp = 4
/
ATOMIC_SPECIES
Na 22.99 Na.upf
Y 88.91 Y.upf
Ga 69.72 Ga.upf
Pt 195.08 Pt.upf
CELL_PARAMETERS angstrom
6.824 0.000 0.000
0.000 2.156 5.044
0.000 -2.156 5.044
ATOMIC_POSITIONS crystal
Na 0.000 0.000 0.000
Y 0.500 0.843 0.843
Ga 0.194 0.285 0.285
Ga 0.297 0.556 0.556
Ga 0.703 0.556 0.556
Ga 0.806 0.285 0.285
Pt 0.000 0.717 0.717
Pt 0.500 0.128 0.128
```

[7]
RbCuReSeS2 | PBE-GGA | relaxed Values from VASP.

```
&SYSTEM
  ibrav = 0, nat = 12, ntyp = 5
/
ATOMIC_SPECIES
Rb 85.47 Rb.upf
Cu 63.55 Cu.upf
Re 186.21 Re.upf
Se 78.96 Se.upf
S 32.06 S.upf
CELL_PARAMETERS angstrom
1.830 -7.674 0.000
1.830 7.674 0.000
0.000 0.000 9.602
ATOMIC_POSITIONS crystal
Rb 0.235 0.765 0.750
Rb 0.765 0.235 0.250
Cu 0.468 0.532 0.250
Cu 0.532 0.468 0.750
Re 0.000 0.000 0.000
Re 0.000 0.000 0.500
Se 0.072 0.928 0.250
Se 0.928 0.072 0.750
S 0.397 0.603 0.045
S 0.397 0.603 0.455
S 0.603 0.397 0.545
S 0.603 0.397 0.955
```

[8]
! SnIrO4 PBE-GGA relaxed; values from VASP
! Relative energy among the computed polymorphs ... 0 meV/atom
&SYSTEM
  ibrav = 0, nat = 6, ntyp = 3
/
ATOMIC_SPECIES
Sn 118.71 Sn.upf
Ir 192.22 Ir.upf
O 16.00 O.upf
CELL_PARAMETERS angstrom
3.281 -3.282 0.000
3.281 3.282 0.000
0.000 0.000 3.223
ATOMIC_POSITIONS crystal
Sn 0.000 0.000 0.000
Ir 0.500 0.500 0.500
O 0.197 0.803 0.500
O 0.317 0.317 0.000
O 0.683 0.683 0.000
O 0.803 0.197 0.500

[9]
PrGa2 | PBE-GGA | relaxed Values from VASP.

```
&SYSTEM
  ibrav = 0, nat = 3, ntyp = 2
/
ATOMIC_SPECIES
Pr 140.91 Pr.upf
Ga 69.72 Ga.upf
CELL_PARAMETERS angstrom
0.000 3.481 3.481
3.481 0.000 3.481
3.481 3.481 0.000
ATOMIC_POSITIONS crystal
Pr 0.000 0.000 0.000
Ga 0.250 0.250 0.250
Ga 0.750 0.750 0.750
```

[10]
! GdPbNO PBE-GGA relaxed; values from VASP
! Relative energy among the computed polymorphs ... 591 meV/atom
&SYSTEM
  ibrav = 0, nat = 8, ntyp = 4
/
ATOMIC_SPECIES
Gd 157.25 Gd.upf
Pb 207.20 Pb.upf
N 14.01 N.upf
O 16.00 O.upf
CELL_PARAMETERS angstrom
4.425 0.000 0.000
0.000 4.425 0.000
0.000 0.000 8.340
ATOMIC_POSITIONS crystal
Gd 0.250 0.750 0.000
Gd 0.750 0.250 0.000
Pb 0.250 0.250 0.382
Pb 0.750 0.750 0.618
N 0.250 0.250 0.918
N 0.750 0.750 0.082
O 0.250 0.750 0.500
O 0.750 0.250 0.500

[11]
Cu2SnGeP4 | PBE-GGA | relaxed Values from VASP.

```
&SYSTEM
  ibrav = 0, nat = 8, ntyp = 4
/
ATOMIC_SPECIES
Cu 63.55 Cu.upf
Sn 118.71 Sn.upf
Ge 72.64 Ge.upf
P 30.97 P.upf
CELL_PARAMETERS angstrom
-2.729 2.729 5.442
2.729 -2.729 5.442
2.729 2.729 -5.442
ATOMIC_POSITIONS crystal
Cu 0.000 0.000 0.000
Cu 0.750 0.250 0.500
Sn 0.500 0.500 0.000
Ge 0.250 0.750 0.500
P 0.089 0.634 0.987
P 0.366 0.353 0.455
P 0.647 0.102 0.013
P 0.898 0.911 0.545
```

[12]
RbCo2P2 | PBE-GGA | relaxed Values from VASP.

```
&SYSTEM
  ibrav = 0, nat = 5, ntyp = 3
/
ATOMIC_SPECIES
Rb 85.47 Rb.upf
Co 58.93 Co.upf
P 30.97 P.upf
CELL_PARAMETERS angstrom
-1.841 1.841 6.945
1.841 -1.841 6.945
1.841 1.841 -6.945
ATOMIC_POSITIONS crystal
Rb 0.000 0.000 0.000
Co 0.250 0.750 0.500
Co 0.750 0.250 0.500
P 0.336 0.336 0.000
P 0.664 0.664 0.000
```

Number 1: DFT total energy -7.5607 eV per atom. Number 2: DFT total energy -8.8053 eV per atom. Number 3: DFT total energy -4.1495 eV per atom. Number 4: DFT total energy -4.6778 eV per atom. Number 5: DFT total energy -4.2092 eV per atom. Number 6: DFT total energy -4.6876 eV per atom. Number 7: DFT total energy -5.1762 eV per atom. Number 8: DFT total energy -6.5617 eV per atom. Number 9: DFT total energy -3.6907 eV per atom. Number 10: DFT total energy -6.2972 eV per atom. Number 11: DFT total energy -4.7301 eV per atom. Number 12: DFT total energy -5.7776 eV per atom.